A relaxed structure of LaMoAs, computed with PBE.

```
data_LaMoAs
_chemical_formula_sum 'La2 Mo2 As2'
_space_group_name_H-M_alt 'P 1'
_space_group_IT_number 1
_cell_length_a 3.418
_cell_length_b 3.418
_cell_length_c 10.993
_cell_angle_alpha 90.00
_cell_angle_beta 90.00
_cell_angle_gamma 90.00
loop_
_space_group_symop_operation_xyz
'x,y,z'
loop_
_atom_site_label
_atom_site_type_symbol
_atom_site_fract_x
_atom_site_fract_y
_atom_site_fract_z
La1 La 0.000 0.000 0.000
La2 La 0.500 0.500 0.500
Mo1 Mo 0.000 0.000 0.299
Mo2 Mo 0.500 0.500 0.799
As1 As 0.000 0.000 0.707
As2 As 0.500 0.500 0.207
```

Summary:
E_form = -0.3104 eV per atom
density of states at the Fermi level = 1.042 states/eV/atom
spin magnetization = 0.001 μB/f.u.

A relaxed structure of LaMoAs4, computed with PBE.

```
data_LaMoAs4
_chemical_formula_sum 'La1 Mo1 As4'
_space_group_name_H-M_alt 'P 1'
_space_group_IT_number 1
_cell_length_a 5.656
_cell_length_b 5.656
_cell_length_c 5.656
_cell_angle_alpha 60.00
_cell_angle_beta 60.00
_cell_angle_gamma 60.00
loop_
_space_group_symop_operation_xyz
'x,y,z'
loop_
_atom_site_label
_atom_site_type_symbol
_atom_site_fract_x
_atom_site_fract_y
_atom_site_fract_z
La1 La 0.000 0.000 0.000
Mo1 Mo 0.750 0.750 0.750
As1 As 0.376 0.376 0.376
As2 As 0.376 0.376 0.871
As3 As 0.376 0.871 0.376
As4 As 0.871 0.376 0.376
```

Summary:
E_form = 0.2400 eV per atom
density of states at the Fermi level = 0.778 states/eV/atom
spin magnetization = 3.250 μB/f.u.

A relaxed structure of La2MoAs, computed with PBE.

```
data_La2MoAs
_chemical_formula_sum 'La8 Mo4 As4'
_space_group_name_H-M_alt 'P 1'
_space_group_IT_number 1
_cell_length_a 8.131
_cell_length_b 8.131
_cell_length_c 6.006
_cell_angle_alpha 90.00
_cell_angle_beta 90.00
_cell_angle_gamma 90.00
loop_
_space_group_symop_operation_xyz
'x,y,z'
loop_
_atom_site_label
_atom_site_type_symbol
_atom_site_fract_x
_atom_site_fract_y
_atom_site_fract_z
La1 La 0.203 0.250 0.125
La2 La 0.250 0.703 0.375
La3 La 0.250 0.797 0.875
La4 La 0.297 0.250 0.625
La5 La 0.703 0.750 0.625
La6 La 0.750 0.203 0.875
La7 La 0.750 0.297 0.375
La8 La 0.797 0.750 0.125
Mo1 Mo 0.000 0.000 0.000
Mo2 Mo 0.000 0.500 0.250
Mo3 Mo 0.500 0.000 0.750
Mo4 Mo 0.500 0.500 0.500
As1 As 0.000 0.000 0.500
As2 As 0.000 0.500 0.750
As3 As 0.500 0.000 0.250
As4 As 0.500 0.500 0.000
```

Summary:
E_form = 0.1086 eV per atom
density of states at the Fermi level = 1.305 states/eV/atom
spin magnetization = 0.595 μB/f.u.

- Which of these has the highest E_form?
  LaMoAs4

- What is the density of states at the Fermi level in the second record?
  0.778 states/eV/atom